Entry from Alexandria: a geometry-optimized CaDyCo structure (GGA-PBE).

Summary:
energy relative to the lowest polymorph listed for this composition: 132 meV/atom
M_tot: 0.3 μB per cell
ΔE_f: 24 meV per atom

Unit cell a=3.395 b=3.395 c=6.881 alpha=104.28 beta=104.28 gamma=90.00
Each line ends with the local moment (μB).
Sites, in units of the cell vectors:
1 Co 0.678 0.678 0.356  0.60
2 Dy 0.288 0.288 0.576  -0.17
3 Ca 0.034 0.034 0.068  -0.04